(1)
Computed, not measured: a geometry-optimized Ga2PtI6F2 structure at the PBE level of DFT.

abc: 7.290 7.290 8.014
angles: 90.73 90.73 66.36
Positions (direct):
Ga 0.222 0.222 0.681
Ga 0.778 0.778 0.319
I 0.878 0.342 0.843
I 0.824 0.824 0.627
I 0.342 0.878 0.843
I 0.176 0.176 0.373
I 0.658 0.122 0.157
I 0.122 0.658 0.157
Pt 0.000 0.000 0.000
F 0.363 0.363 0.740
F 0.637 0.637 0.260

Summary:
The value obtained for the density is 4.83 Mg/m³. The calculation puts the total magnetization at 0.01 μB/f.u. Its symmetry is C2/m (12). Its total energy is -3.1154 eV per atom.

(2)
Computed, not measured: a geometry-optimized HoReAg structure at the PBE level of DFT.

abc: 4.674 4.674 4.674
angles: 60.00 60.00 60.00
Positions (direct):
Ho 0.000 0.000 0.000
Ag 0.250 0.250 0.250
Re 0.750 0.750 0.750

Summary:
The value obtained for the density is 10.56 Mg/m³. For the formation energy, the calculation gives 1352 meV/atom. The calculation puts the total magnetization at 2.21 μB/f.u. Its symmetry is F-43m (216). Its total energy is -5.2558 eV per atom.

(3)
Computed, not measured: a geometry-optimized Cs3Ag2Cl6 structure at the PBE level of DFT.

abc: 14.744 14.744 14.744
angles: 160.14 160.14 28.23
Positions (direct):
Cl 0.915 0.415 0.500
Cl 0.585 0.085 0.500
Cl 0.306 0.306 0.000
Cl 0.085 0.585 0.500
Cl 0.415 0.915 0.500
Cl 0.694 0.694 0.000
Cs 0.817 0.817 0.000
Cs 0.183 0.183 0.000
Cs 0.000 0.000 0.000
Ag 0.601 0.601 0.000
Ag 0.399 0.399 0.000

Summary:
The value obtained for the density is 3.71 Mg/m³. Its symmetry is I4/mmm (139). Its total energy is -3.0658 eV per atom.

(4)
Computed, not measured: a geometry-optimized PrYZnNi2 structure at the PBE level of DFT.

abc: 5.389 5.389 5.389
angles: 133.28 119.51 79.73
Positions (direct):
Ni 0.769 0.501 0.269
Ni 0.232 0.501 0.731
Zn 0.500 0.000 0.500
Y 0.202 0.202 0.000
Pr 0.797 0.797 0.000

Summary:
The value obtained for the density is 7.14 Mg/m³. For the formation energy, the calculation gives -394 meV/atom. The calculation puts the total magnetization at 0.00 μB/f.u. Its symmetry is Imm2 (44). Its total energy is -5.1218 eV per atom.

(5)
Computed, not measured: a geometry-optimized LiBeZnSn structure at the PBE level of DFT.

abc: 4.515 4.515 4.515
angles: 60.00 60.00 60.00
Positions (direct):
Zn 0.000 0.000 0.000
Li 0.750 0.750 0.750
Be 0.500 0.500 0.500
Sn 0.250 0.250 0.250

Summary:
The value obtained for the density is 5.10 Mg/m³. Its symmetry is F-43m (216). Its total energy is -2.5320 eV per atom. The energy above the lowest structure with this stoichiometry comes out at 0.39 eV/f.u.

(6)
Computed, not measured: a geometry-optimized AcErO3 structure at the PBE level of DFT.

abc: 6.095 6.240 8.964
angles: 90.00 90.00 90.00
Positions (direct):
Ac 0.000 0.500 0.000
Ac 0.500 0.000 0.000
Ac 0.000 0.500 0.500
Ac 0.500 0.000 0.500
O 0.173 0.355 0.250
O 0.327 0.855 0.250
O 0.844 0.841 0.084
O 0.156 0.159 0.584
O 0.156 0.159 0.916
O 0.344 0.659 0.584
O 0.656 0.341 0.084
O 0.673 0.145 0.750
O 0.344 0.659 0.916
O 0.656 0.341 0.416
O 0.827 0.645 0.750
O 0.844 0.841 0.416
Er 0.013 0.017 0.250
Er 0.487 0.517 0.250
Er 0.513 0.483 0.750
Er 0.987 0.983 0.750

Summary:
The value obtained for the density is 8.62 Mg/m³. The calculation puts the total magnetization at 0.00 μB/f.u. Its symmetry is Pnma (62). Its total energy is -7.9870 eV per atom.